Entry 1:
{"formula": "Cs2AlBr6N", "functional": "PBE-GGA", "state": "relaxed", "dos_ef_per_ev_cell": 1.17, "spacegroup": "I4/mmm (139)", "magnetic_moment_mub_per_fu": 2.000, "e_form_raw_ev_per_atom": -0.626, "cell": [[7.350, 0.000, 0.000], [0.000, 7.350, 0.000], [3.675, 3.675, 5.945]], "species": ["Br", "Br", "N", "Br", "Cs", "Br", "Br", "Br", "Al", "Cs"], "frac_coords": [[0.251, 0.749, 0.000], [0.749, 0.749, 0.000], [0.500, 0.500, 0.000], [0.251, 0.251, 0.000], [0.750, 0.250, 0.500], [0.749, 0.251, 0.000], [0.793, 0.793, 0.415], [0.207, 0.207, 0.585], [0.000, 0.000, 0.000], [0.250, 0.750, 0.500]]}

Entry 2:
{"formula": "Sc2MnSe", "functional": "PBE-GGA", "state": "relaxed", "dos_ef_per_ev_cell": 3.61, "spacegroup": "P4mm (99)", "magnetic_moment_mub_per_fu": 0.862, "e_form_raw_ev_per_atom": -0.196, "cell": [[-2.149, 1.644, 1.577], [-1.206, -2.660, 1.130], [4.603, 0.401, 5.853]], "species": ["Sc", "Se", "Sc", "Mn"], "frac_coords": [[0.500, 0.500, 0.292], [0.000, 0.000, 0.555], [0.000, 0.000, 0.947], [0.500, 0.500, 0.706]]}

Entry 3:
{"formula": "NiPH2", "functional": "PBE-GGA", "state": "relaxed", "dos_ef_per_ev_cell": 2.93, "spacegroup": "I-42d (122)", "magnetic_moment_mub_per_fu": 0.000, "e_above_lowest_polymorph_mev_per_atom": 0.0, "cell": [[-2.615, 3.468, -0.148], [-2.548, -2.043, -2.867], [-4.588, -0.683, 1.270]], "species": ["P", "H", "P", "Ni", "H", "H", "H", "Ni"], "frac_coords": [[0.500, 0.500, 0.000], [0.037, 0.625, 0.250], [0.250, 0.750, 0.500], [0.750, 0.250, 0.500], [0.875, 0.963, 0.750], [0.713, 0.125, 0.250], [0.375, 0.287, 0.750], [0.000, 0.000, 0.000]]}